No. 1
LiTm3Pa3Se8 after structural relaxation. Source: Alexandria via LeMat-Bulk, functional PBE-GGA.

uncorrected energy = -6.265 eV/atom
magnetization = 0.27 μB per atom

```
data_LiTm3Pa3Se8
_cell_length_a 7.9896
_cell_length_b 7.9896
_cell_length_c 20.0939
_cell_angle_alpha 90.00
_cell_angle_beta 90.00
_cell_angle_gamma 120.00
_space_group_name_H-M_alt 'R -3 m'
_space_group_IT_number 166
_space_group_name_Hall '-R 3 2"'
loop_
_atom_site_label
_atom_site_type_symbol
_atom_site_fract_x
_atom_site_fract_y
_atom_site_fract_z
Li1 Li 0.0000 0.0000 0.0000
Tm1 Tm 0.0000 0.5000 0.5000
Pa1 Pa 0.0000 0.5000 0.0000
Se1 Se 0.0000 0.0000 0.2462
Se2 Se 0.0056 0.5028 0.7510
```


No. 2
Pb2IF2 after structural relaxation. Source: Alexandria via LeMat-Bulk, functional PBE-GGA.

uncorrected energy = -3.842 eV/atom
magnetization = 0.00 μB per atom

```
data_Pb2IF2
_cell_length_a 7.231
_cell_length_b 7.231
_cell_length_c 11.590
_cell_angle_alpha 90.00
_cell_angle_beta 90.00
_cell_angle_gamma 90.00
_space_group_name_H-M_alt 'I 41 m d'
_space_group_IT_number 109
_space_group_name_Hall 'I 4bw -2'
loop_
_atom_site_label
_atom_site_type_symbol
_atom_site_fract_x
_atom_site_fract_y
_atom_site_fract_z
Pb1 Pb 0.000 0.250 0.000
I1 I 0.000 0.000 0.521
F1 F 0.000 0.292 0.266
```


No. 3
CaLa4Tl2 after structural relaxation. Source: Alexandria via LeMat-Bulk, functional PBE-GGA.

uncorrected energy = -3.376 eV/atom
E_form = 0.4019 eV per atom
magnetization = 0.00 μB per atom

```
data_CaLa4Tl2
_cell_length_a 5.745
_cell_length_b 5.745
_cell_length_c 16.341
_cell_angle_alpha 90.00
_cell_angle_beta 90.00
_cell_angle_gamma 90.00
_space_group_name_H-M_alt 'I 4/m m m'
_space_group_IT_number 139
_space_group_name_Hall '-I 4 2'
loop_
_atom_site_label
_atom_site_type_symbol
_atom_site_fract_x
_atom_site_fract_y
_atom_site_fract_z
Ca1 Ca 0.000 0.000 0.000
La1 La 0.000 0.000 0.192
La2 La 0.000 0.500 0.000
Tl1 Tl 0.000 0.000 0.387
```


No. 4
Ba2TiRu after structural relaxation. Source: Alexandria via LeMat-Bulk, functional PBE-GGA.

uncorrected energy = -4.790 eV/atom
E_form = 0.4645 eV per atom
magnetization = 0.28 μB per atom

```
data_Ba2TiRu
_cell_length_a 12.248
_cell_length_b 12.248
_cell_length_c 4.583
_cell_angle_alpha 90.00
_cell_angle_beta 90.00
_cell_angle_gamma 90.00
_space_group_name_H-M_alt 'I -4 2 d'
_space_group_IT_number 122
_space_group_name_Hall 'I -4 2bw'
loop_
_atom_site_label
_atom_site_type_symbol
_atom_site_fract_x
_atom_site_fract_y
_atom_site_fract_z
Ba1 Ba 0.072 0.250 0.125
Ti1 Ti 0.000 0.000 0.500
Ru1 Ru 0.000 0.000 0.000
```